Ag2GePb: optimized geometry, PBE.

Lattice parameters (Å, degrees): 9.6809 9.6809 9.6809 152.96 152.96 38.61
Closest atoms and distances in Å follow each position.
Sites, in units of the cell vectors:
Ag 0.0685 0.6250 0.9435  2 Ge 2.70, 2 Ag 2.86, 2 Pb 2.90
Ag 0.3750 0.3185 0.4435  2 Ge 2.70, 2 Ag 2.86, 2 Pb 2.90
Ag 0.6815 0.1250 0.0565  2 Ge 2.70, 2 Ag 2.86, 2 Pb 2.90
Ag 0.8750 0.9315 0.5565  2 Ge 2.70, 2 Ag 2.86, 2 Pb 2.90
Ge 0.0000 0.0000 0.0000  4 Ag 2.70
Ge 0.7500 0.2500 0.5000  4 Ag 2.70
Pb 0.2500 0.7500 0.5000  4 Ag 2.90, 4 Ge 3.20
Pb 0.5000 0.5000 0.0000  4 Ag 2.90, 4 Ge 3.20

Output
- Total moment: 0.00 μB/atom
- Space group: I-42d
- E above lowest polymorph: 0.115 eV/atom
- E_tot: -3.23 eV per atom
- Energy of formation from the pure elements: 6.40 kcal/mol of atoms
- Crystal system: tetragonal

CrInCuBr2: optimized geometry, PBE.

Lattice parameters (Å, degrees): 5.1571 5.1571 5.1122 90.00 90.00 90.00
Closest atoms and distances in Å follow each position.
Sites, in units of the cell vectors:
Cr 0.0000 0.0000 0.0000  2 Cu 2.56, 4 Br 2.58
In 0.5000 0.5000 0.5000  8 Br 3.63, 4 Cu 3.65
Cu 0.0000 0.0000 0.5000  2 Cr 2.56
Br 0.0000 0.5000 0.0000  2 Cr 2.58
Br 0.5000 0.0000 0.0000  2 Cr 2.58

Output
- Formation energy (no corrections): 0.071 eV/atom
- Total moment: 0.80 μB/atom
- Space group: P4/mmm
- E_tot: -3.89 eV per atom
- Crystal system: tetragonal

TbPr6Dy2Er: optimized geometry, PBE.

Lattice parameters (Å, degrees): 9.0103 9.0103 9.7054 93.91 93.91 117.73
Closest atoms and distances in Å follow each position.
Sites, in units of the cell vectors:
Tb 0.0271 0.9729 0.7500  4 Dy 3.44-3.46, 6 Pr 3.60-3.84
Tb 0.9729 0.0271 0.2500  4 Dy 3.44-3.46, 6 Pr 3.60-3.84
Pr 0.0069 0.5646 0.6894  3 Pr 3.32-3.70, 1 Er 3.47, 1 Dy 3.50, 1 Tb 3.60
Pr 0.1161 0.7627 0.0540  7 Pr 3.48-3.82, 1 Dy 3.51, 2 Tb 3.68-3.84
Pr 0.2373 0.8839 0.4460  7 Pr 3.48-3.82, 1 Dy 3.51, 2 Tb 3.68-3.84
Pr 0.2931 0.5099 0.8826  3 Dy 3.31-3.51, 4 Pr 3.32-3.70, 2 Er 3.46-3.58
Pr 0.4354 0.9931 0.8106  3 Pr 3.32-3.70, 1 Er 3.47, 1 Dy 3.50, 1 Tb 3.60
Pr 0.4901 0.7069 0.6174  3 Dy 3.31-3.51, 4 Pr 3.32-3.70, 2 Er 3.46-3.58
Pr 0.5099 0.2931 0.3826  3 Dy 3.31-3.51, 4 Pr 3.32-3.70, 2 Er 3.46-3.58
Pr 0.5646 0.0069 0.1894  3 Pr 3.32-3.70, 1 Er 3.47, 1 Dy 3.50, 1 Tb 3.60
Pr 0.7069 0.4901 0.1174  3 Dy 3.31-3.51, 4 Pr 3.32-3.70, 2 Er 3.46-3.58
Pr 0.7627 0.1161 0.5540  7 Pr 3.48-3.82, 1 Dy 3.51, 2 Tb 3.68-3.84
Pr 0.8839 0.2373 0.9460  7 Pr 3.48-3.82, 1 Dy 3.51, 2 Tb 3.68-3.84
Pr 0.9931 0.4354 0.3106  3 Pr 3.32-3.70, 1 Er 3.47, 1 Dy 3.50, 1 Tb 3.60
Dy 0.2005 0.2970 0.5463  5 Pr 3.31-3.51, 2 Tb 3.44-3.46, 1 Er 3.55
Dy 0.2970 0.2005 0.0463  5 Pr 3.31-3.51, 2 Tb 3.44-3.46, 1 Er 3.55
Dy 0.7030 0.7995 0.9537  5 Pr 3.31-3.51, 2 Tb 3.44-3.46, 1 Er 3.55
Dy 0.7995 0.7030 0.4537  5 Pr 3.31-3.51, 2 Tb 3.44-3.46, 1 Er 3.55
Er 0.4119 0.5881 0.2500  6 Pr 3.46-3.58, 2 Dy 3.55
Er 0.5881 0.4119 0.7500  6 Pr 3.46-3.58, 2 Dy 3.55

Output
- Total moment: 0.00 μB/atom
- Space group: C2/c
- E_tot: -4.59 eV per atom
- Energy of formation from the pure elements: 2.66 kcal/mol of atoms
- Crystal system: monoclinic

Eu3MgNi: optimized geometry, PBE.

Lattice parameters (Å, degrees): 5.5493 5.5493 5.5493 90.00 90.00 90.00
Closest atoms and distances in Å follow each position.
Sites, in units of the cell vectors:
Eu 0.0000 0.0000 0.5000  2 Ni 2.77
Eu 0.0000 0.5000 0.0000  2 Ni 2.77
Eu 0.5000 0.0000 0.0000  2 Ni 2.77
Mg 0.5000 0.5000 0.5000  12 Eu 3.92
Ni 0.0000 0.0000 0.0000  6 Eu 2.77

Output
- Total moment: 4.34 μB/atom
- Space group: Pm-3m
- E_tot: -7.67 eV per atom
- Energy of formation from the pure elements: -0.75 kcal/mol of atoms
- Crystal system: cubic

Sc2VAg: optimized geometry, PBE.

Lattice parameters (Å, degrees): 10.2382 10.2382 10.2382 156.66 156.66 33.24
Closest atoms and distances in Å follow each position.
Sites, in units of the cell vectors:
Sc 0.1246 0.6250 0.9996  2 V 2.86, 2 Ag 2.86, 4 Sc 2.93
Sc 0.3750 0.3746 0.4996  2 V 2.86, 2 Ag 2.86, 4 Sc 2.93
Sc 0.6254 0.1250 0.0004  2 V 2.86, 2 Ag 2.86, 4 Sc 2.93
Sc 0.8750 0.8754 0.5004  2 V 2.86, 2 Ag 2.86, 4 Sc 2.93
V 0.0000 0.0000 0.0000  4 Sc 2.86, 4 Ag 2.93
V 0.7500 0.2500 0.5000  4 Sc 2.86, 4 Ag 2.93
Ag 0.2500 0.7500 0.5000  4 Sc 2.86, 4 V 2.93
Ag 0.5000 0.5000 0.0000  4 Sc 2.86, 4 V 2.93

Output
- Total moment: 0.52 μB/atom
- Space group: I-42d
- E above lowest polymorph: 0.548 eV/atom
- E_tot: -5.60 eV per atom
- Energy of formation from the pure elements: 12.83 kcal/mol of atoms
- Crystal system: tetragonal

LiPmAlBi: optimized geometry, PBE.

Lattice parameters (Å, degrees): 5.2606 5.2606 5.2606 60.00 60.00 60.00
Closest atoms and distances in Å follow each position.
Sites, in units of the cell vectors:
Li 0.0000 0.0000 0.0000  4 Bi 3.22, 4 Al 3.22
Pm 0.5000 0.5000 0.5000  4 Bi 3.22, 4 Al 3.22
Al 0.2500 0.2500 0.2500  4 Li 3.22, 4 Pm 3.22
Bi 0.7500 0.7500 0.7500  4 Pm 3.22, 4 Li 3.22

Output
- Total moment: 0.00 μB/atom
- Space group: F-43m
- E_tot: -3.81 eV per atom
- Energy of formation from the pure elements: -5.42 kcal/mol of atoms
- Crystal system: cubic

Tm6In2Tc: optimized geometry, PBE.

Lattice parameters (Å, degrees): 8.4608 8.4608 3.8655 90.00 90.00 120.00
Closest atoms and distances in Å follow each position.
Sites, in units of the cell vectors:
Tm 0.0000 0.3847 0.0000  1 Tc 3.25, 4 In 3.26, 4 Tm 3.44
Tm 0.0000 0.7573 0.5000  2 Tc 2.82
Tm 0.2427 0.2427 0.5000  2 Tc 2.82
Tm 0.3847 0.0000 0.0000  1 Tc 3.25, 4 In 3.26, 4 Tm 3.44
Tm 0.6153 0.6153 0.0000  1 Tc 3.25, 4 In 3.26, 4 Tm 3.44
Tm 0.7573 0.0000 0.5000  2 Tc 2.82
In 0.3333 0.6667 0.5000  9 Tm 3.26-3.27
In 0.6667 0.3333 0.5000  9 Tm 3.26-3.27
Tc 0.0000 0.0000 0.0000  6 Tm 2.82

Output
- Total moment: 0.00 μB/atom
- Space group: P-62m
- E_tot: -5.03 eV per atom
- Energy of formation from the pure elements: -6.71 kcal/mol of atoms
- Crystal system: hexagonal

YMg2Cr: optimized geometry, PBE.

Lattice parameters (Å, degrees): 5.5525 5.5525 5.5525 132.80 132.11 69.51
Closest atoms and distances in Å follow each position.
Sites, in units of the cell vectors:
Y 0.0000 0.0000 0.0000  4 Cr 3.17, 8 Mg 3.19-3.20
Mg 0.2515 0.7515 0.5000  4 Mg 3.17, 4 Cr 3.18-3.22, 4 Y 3.19-3.20
Mg 0.7485 0.2485 0.5000  4 Mg 3.17, 4 Cr 3.18-3.22, 4 Y 3.19-3.20
Cr 0.5000 0.5000 0.0000  4 Y 3.17, 8 Mg 3.18-3.22

Output
- Total moment: 0.83 μB/atom
- Space group: Immm
- E_tot: -4.59 eV per atom
- Energy of formation from the pure elements: 5.24 kcal/mol of atoms
- Crystal system: orthorhombic